Computed, not measured: an optimized crystal structure of Ge3Mo5C at the PBE level of DFT.

abc: 7.467 7.467 5.350
angles: 90.00 90.00 120.00
Positions (direct):
1 Mo 0.000 0.774 0.750
2 C 0.000 0.000 0.500
3 Ge 0.000 0.596 0.250
4 Mo 0.774 0.000 0.750
5 Mo 0.000 0.226 0.250
6 Mo 0.667 0.333 0.000
7 Mo 0.226 0.000 0.250
8 Mo 0.667 0.333 0.500
9 Ge 0.596 0.000 0.250
10 Ge 0.596 0.596 0.750
11 Mo 0.333 0.667 0.000
12 Ge 0.404 0.000 0.750
13 C 0.000 0.000 0.000
14 Ge 0.000 0.404 0.750
15 Ge 0.404 0.404 0.250
16 Mo 0.774 0.774 0.250
17 Mo 0.226 0.226 0.750
18 Mo 0.333 0.667 0.500

Computed properties:
E: -155.997 eV per cell
Magnetization: 0.00 μB/cell
ΔE_f: -85 meV per atom
DOS at the Fermi energy: 0.923 states/eV per atom
Symmetry: No. 193
Calculated volume: 258 Å³/cell